[1]
Below is Ho2AsH after structural relaxation, with properties calculated at the PBE level.

Cell: 3.8656 3.8656 20.9419 Å, 90.00 90.00 120.00°
Space group R3m (No. 160, hexagonal axes)
Unique sites:
Ho  0.0000  0.0000  0.0000
Ho  0.0000  0.0000  0.1711
As  0.0000  0.0000  0.5814
H  0.0000  0.0000  0.3535

Properties
The total magnetic moment is 0.0 μB/cell.

[2]
Below is Ho4As2H after structural relaxation, with properties calculated at the PBE level.

Cell: 4.294 4.294 15.884 Å, 90.00 90.00 90.00°
Space group I4/mmm (No. 139)
Unique sites:
Ho  0.000  0.000  0.180
Ho  0.000  0.500  0.000
As  0.000  0.000  0.364
H  0.000  0.000  0.000

Properties
The total magnetic moment is 0.0 μB/cell.

| no. | E_tot (eV for the cell shown) |
| --- | --- |
| 1 | -60.14 |
| 2 | -73.95 |